(1)
Material: K2Er2MoO6
Method: DFT, GGA+U
State: relaxed

Unit cell a=5.761 b=5.761 c=6.603 alpha=98.27 beta=98.27 gamma=119.15
Fractional positions:
K: 0.164 0.836 0.000
K: 0.836 0.164 0.000
Er: 0.337 0.663 0.500
Er: 0.663 0.337 0.500
Mo: 0.000 0.000 0.500
O: 0.051 0.365 0.670
O: 0.261 0.261 0.323
O: 0.365 0.051 0.670
O: 0.635 0.949 0.330
O: 0.739 0.739 0.677
O: 0.949 0.635 0.330

Values from the calculation:
**Space-group type**: No. 12
**Uncorrected energy**: -75.953 eV/cell
**D(E_F)**: 0.0000 states/eV/atom

=====

(2)
Material: K2ErMo3O12
Method: DFT, GGA+U
State: relaxed

Unit cell a=7.571 b=7.571 c=7.571 alpha=59.40 beta=59.40 gamma=59.40
Fractional positions:
K: 0.156 0.156 0.156
K: 0.844 0.844 0.844
Er: 0.500 0.500 0.500
Mo: 0.000 0.500 0.500
Mo: 0.500 0.000 0.500
Mo: 0.500 0.500 0.000
O: 0.147 0.577 0.577
O: 0.200 0.200 0.563
O: 0.200 0.563 0.200
O: 0.423 0.423 0.853
O: 0.423 0.853 0.423
O: 0.437 0.800 0.800
O: 0.563 0.200 0.200
O: 0.577 0.147 0.577
O: 0.577 0.577 0.147
O: 0.800 0.437 0.800
O: 0.800 0.800 0.437
O: 0.853 0.423 0.423

Values from the calculation:
**Space-group type**: No. 166
**Uncorrected energy**: -120.564 eV/cell
**D(E_F)**: 0.5957 states/eV/atom